Record 1
First-principles (PBE-GGA) data for Hf3Zr4Ti after structural relaxation, as listed in Alexandria.

a b c (Å): 3.1355 4.9114 11.5769
angles (deg): 90.00 90.00 90.00
Space group Pmm2 (No. 25)
Symmetry-distinct sites (fractional):
Hf 0.0000 0.0000 0.0000 (multiplicity 1)
Hf 0.0000 0.5000 0.1365 (multiplicity 1)
Hf 0.5000 0.0000 0.5073 (multiplicity 1)
Zr 0.0000 0.0000 0.7420 (multiplicity 1)
Zr 0.0000 0.5000 0.3976 (multiplicity 1)
Zr 0.5000 0.0000 0.2480 (multiplicity 1)
Zr 0.5000 0.5000 0.8856 (multiplicity 1)
Ti 0.5000 0.5000 0.6350 (multiplicity 1)

Output
energy relative to the elements = 57 meV per atom

Record 2
First-principles (PBE-GGA) data for Li2Al2CdAg2 after structural relaxation, as listed in Alexandria.

a b c (Å): 7.9526 4.5257 7.0708
angles (deg): 90.00 111.54 90.00
Space group C2/m (No. 12)
Symmetry-distinct sites (fractional):
Li 0.1436 0.0000 0.4278 (multiplicity 4)
Al 0.0697 0.5000 0.7122 (multiplicity 4)
Cd 0.0000 0.0000 0.0000 (multiplicity 2)
Ag 0.2258 0.5000 0.1761 (multiplicity 4)

Output
energy relative to the elements = -155 meV per atom

Record 3
First-principles (PBE-GGA) data for Li2MgIn2 after structural relaxation, as listed in Alexandria.

a b c (Å): 8.0179 8.0179 3.3036
angles (deg): 90.00 90.00 90.00
Space group P4/mbm (No. 127)
Symmetry-distinct sites (fractional):
Li 0.1681 0.3319 0.0000 (multiplicity 4)
Mg 0.0000 0.0000 0.5000 (multiplicity 2)
In 0.1329 0.6329 0.5000 (multiplicity 4)

Output
offset from the most stable computed form = 21 meV/atom
energy relative to the elements = -181 meV per atom

Record 4
First-principles (PBE-GGA) data for ZrRe2Te after structural relaxation, as listed in Alexandria.

a b c (Å): 3.2868 4.6678 9.4107
angles (deg): 90.00 90.00 90.00
Space group Imm2 (No. 44)
Symmetry-distinct sites (fractional):
Zr 0.0000 0.0000 0.0000 (multiplicity 2)
Re 0.0000 0.0000 0.4972 (multiplicity 2)
Re 0.0000 0.5000 0.7673 (multiplicity 2)
Te 0.0000 0.5000 0.2382 (multiplicity 2)

Output
ΔE_f (raw) = 27.17 kJ per mole of atoms

Record 5
First-principles (PBE-GGA) data for CaTa2Bi after structural relaxation, as listed in Alexandria.

a b c (Å): 8.4426 8.4426 5.7460
angles (deg): 90.00 90.00 90.00
Space group I-42d (No. 122)
Symmetry-distinct sites (fractional):
Ca 0.0000 0.0000 0.0000 (multiplicity 4)
Ta 0.2119 0.2500 0.6250 (multiplicity 8)
Bi 0.0000 0.0000 0.5000 (multiplicity 4)

Output
energy relative to the elements = 1037 meV per atom

Record 6
First-principles (PBE-GGA) data for Zn2PCl after structural relaxation, as listed in Alexandria.

a b c (Å): 7.1784 7.0800 3.0965
angles (deg): 90.00 107.63 90.00
Space group C2/m (No. 12)
Symmetry-distinct sites (fractional):
Zn 0.2500 0.2500 0.0000 (multiplicity 4)
P 0.0000 0.0000 0.0000 (multiplicity 2)
Cl 0.0000 0.5000 0.0000 (multiplicity 2)

Output
offset from the most stable computed form = 443 meV/atom
ΔE_f (raw) = -8.22 kJ per mole of atoms

So what do the calculations give for calculated density? Going down the list: 8.832, 5.556, 4.188, 13.600, 9.908, 4.368 g/cm³.